Compound: SnBi2N
Source: Alexandria via LeMat-Bulk
Functional: PBEsol
Structure: relaxed

Results
DOS at the Fermi energy (states/eV per atom): 0.6739
Distance to the lowest polymorph of the same formula (eV/atom): 0.000
Energy (eV/atom): -4.764
Formation energy without anion corrections (eV per atom): 0.575

```
SnBi2N
1.0
5.8873 0.0000 0.0000
0.0000 5.8873 0.0000
-2.9437 -2.9437 6.5382
N Bi Sn
2 4 2
Cartesian
2.9437 0.0000 3.2691 N
2.9437 2.9437 0.0000 N
2.0550 4.4155 1.6345 Bi
3.8323 1.4718 1.6345 Bi
-1.4718 -0.8886 4.9036 Bi
1.4718 0.8886 4.9036 Bi
0.0000 2.9437 3.2691 Sn
0.0000 0.0000 0.0000 Sn
```

***

Compound: SnBi2N
Source: Alexandria via LeMat-Bulk
Functional: PBEsol
Structure: relaxed

Results
DOS at the Fermi energy (states/eV per atom): 0.6906
Distance to the lowest polymorph of the same formula (eV/atom): 0.423
Energy (eV/atom): -4.342
Formation energy without anion corrections (eV per atom): 0.998

```
SnBi2N
1.0
5.0378 0.0000 0.0000
2.5189 4.3629 0.0000
2.5189 1.4543 4.1134
N Bi Sn
1 2 1
Cartesian
0.0000 0.0000 0.0000 N
2.5189 1.4543 1.0283 Bi
7.5567 4.3629 3.0850 Bi
5.0378 2.9086 2.0567 Sn
```

***

Compound: Sr3BiN
Source: Alexandria via LeMat-Bulk
Functional: PBEsol
Structure: relaxed

Results
DOS at the Fermi energy (states/eV per atom): 0.0074
Energy (eV/atom): -4.616
Formation energy without anion corrections (eV per atom): -0.950

```
Sr3BiN
1.0
-1.2557 -3.1917 -3.8852
4.5514 0.9804 -2.2764
2.1369 -3.9636 2.5655
Sr Bi N
3 1 1
Cartesian
2.2757 0.4902 -1.1382 Sr
1.0684 -1.9818 1.2827 Sr
-0.6278 -1.5958 -1.9426 Sr
2.7163 -3.0875 -1.7980 Bi
0.0000 0.0000 0.0000 N
```

***

Compound: TaBiTeN2
Source: Alexandria via LeMat-Bulk
Functional: PBEsol
Structure: relaxed

Results
DOS at the Fermi energy (states/eV per atom): 0.8626
Energy (eV/atom): -5.468
Formation energy without anion corrections (eV per atom): 2.015

```
TaBiTeN2
1.0
4.2544 0.0000 0.0000
0.0000 4.2544 0.0000
0.0000 0.0000 5.8416
N Te Bi Ta
2 1 1 1
Cartesian
0.0000 2.1272 0.0000 N
2.1272 0.0000 0.0000 N
0.0000 0.0000 2.9208 Te
0.0000 0.0000 0.0000 Bi
2.1272 2.1272 2.9208 Ta
```

***

| no. | calculated density (kg/m³) |
| --- | --- |
| 1 | 8070 |
| 2 | 10114 |
| 3 | 5796 |
| 4 | 8568 |